[1]
The following is a PBE calculation of a relaxed structure of Tb2CeDy4, from Alexandria.

a = 6.1030 Å, b = 12.8580 Å, c = 5.8955 Å
α = 90.00°, β = 90.00°, γ = 90.00°
Space group Cmmm (No. 65)
Symmetry-distinct sites (fractional):
Tb  0.0000  0.1092  0.0000
Ce  0.0000  0.5000  0.5000
Dy  0.0000  0.1990  0.5000
Dy  0.0000  0.3610  0.0000

Calculated values
DFT formation energy = 3.75 eV/f.u.
total magnetization = 2.24 μB/f.u.

=====

[2]
The following is a PBE calculation of a relaxed structure of Tb7Ce2Dy2, from Alexandria.

a = 11.0877 Å, b = 11.5971 Å, c = 5.9893 Å
α = 90.00°, β = 112.57°, γ = 90.00°
Space group C2/m (No. 12)
Symmetry-distinct sites (fractional):
Tb  0.0000  0.0000  0.0000
Tb  0.0913  0.5000  0.8059
Tb  0.1726  0.2384  0.1745
Ce  0.0000  0.2155  0.5000
Dy  0.2289  0.0000  0.5861

Calculated values
DFT formation energy = 2.23 eV/f.u.
total magnetization = 2.22 μB/f.u.

=====

[3]
The following is a PBE calculation of a relaxed structure of TbCeDy, from Alexandria.

a = 6.3596 Å, b = 10.2674 Å, c = 6.5895 Å
α = 90.00°, β = 119.02°, γ = 90.00°
Space group P2_1/c (No. 14)
Symmetry-distinct sites (fractional):
Tb  0.1889  0.1277  0.1510
Ce  0.3083  0.7251  0.8664
Dy  0.2779  0.0421  0.7034

Calculated values
DFT formation energy = 0.43 eV/f.u.
total magnetization = 0.95 μB/f.u.

=====

[4]
The following is a PBE calculation of a relaxed structure of Tb2CeDy12, from Alexandria.

a = 3.5470 Å, b = 5.6067 Å, c = 24.1401 Å
α = 90.00°, β = 94.10°, γ = 90.00°
Space group P2/m (No. 10)
Symmetry-distinct sites (fractional):
Tb  0.1397  0.0000  0.2799
Ce  0.5000  0.0000  0.0000
Dy  0.0319  0.5000  0.0666
Dy  0.0638  0.0000  0.1353
Dy  0.2221  0.5000  0.4442
Dy  0.2876  0.0000  0.5756
Dy  0.3346  0.5000  0.6709
Dy  0.4068  0.5000  0.8068

Calculated values
DFT formation energy = 1.79 eV/f.u.
total magnetization = 0.46 μB/f.u.

=====

[5]
The following is a PBE calculation of a relaxed structure of TbCeDy, from Alexandria.

a = 3.5244 Å, b = 3.5244 Å, c = 14.9172 Å
α = 90.00°, β = 90.00°, γ = 90.00°
Space group I4mm (No. 107)
Symmetry-distinct sites (fractional):
Tb  0.0000  0.0000  0.0000
Ce  0.0000  0.0000  0.3369
Dy  0.0000  0.0000  0.6745

Calculated values
DFT formation energy = 0.22 eV/f.u.
total magnetization = 0.53 μB/f.u.

=====

[6]
The following is a PBE calculation of a relaxed structure of Tb2CeDy, from Alexandria.

a = 8.0137 Å, b = 8.0137 Å, c = 8.0137 Å
α = 90.00°, β = 90.00°, γ = 90.00°
Space group Fm-3m (No. 225)
Symmetry-distinct sites (fractional):
Tb  0.2500  0.2500  0.2500
Ce  0.0000  0.0000  0.0000
Dy  0.0000  0.0000  0.5000

Calculated values
DFT formation energy = 0.76 eV/f.u.
total magnetization = 2.20 μB/f.u.